Entry 1:
Compound: BaNaCd2Pd
Source: the Alexandria database
Functional: GGA-PBEsol
Structure: optimized geometry

Values from the calculation:
- ΔE_f (eV per atom) = -0.173
- final energy (eV per atom) = -2.553

Unit cell a=5.2300 b=5.2300 c=5.2499 alpha=90.00 beta=90.00 gamma=90.00
Closest atoms and distances in Å follow each position.
Space group P4/mmm (No. 123)
Symmetry-distinct sites (fractional):
1 Ba 0.0000 0.0000 0.0000 (multiplicity 1)  4 Na 3.70, 8 Cd 3.71
2 Na 0.5000 0.5000 0.0000 (multiplicity 1)  2 Pd 2.62
3 Cd 0.0000 0.5000 0.5000 (multiplicity 2)  2 Pd 2.62
4 Pd 0.5000 0.5000 0.5000 (multiplicity 1)  4 Cd 2.62, 2 Na 2.62



Entry 2:
Compound: BaNbCd3
Source: the Alexandria database
Functional: GGA-PBEsol
Structure: optimized geometry

Values from the calculation:
- ΔE_f (eV per atom) = 0.441
- final energy (eV per atom) = -2.871

Unit cell a=5.3670 b=5.3670 c=5.3670 alpha=90.00 beta=90.00 gamma=90.00
Closest atoms and distances in Å follow each position.
Space group Pm-3m (No. 221)
Symmetry-distinct sites (fractional):
1 Ba 0.0000 0.0000 0.0000 (multiplicity 1)  12 Cd 3.80
2 Nb 0.5000 0.5000 0.5000 (multiplicity 1)  6 Cd 2.68
3 Cd 0.0000 0.5000 0.5000 (multiplicity 3)  2 Nb 2.68



Entry 3:
Compound: BaScNbCd2
Source: the Alexandria database
Functional: GGA-PBEsol
Structure: optimized geometry

Values from the calculation:
- ΔE_f (eV per atom) = 0.994
- final energy (eV per atom) = -3.400

Unit cell a=5.3799 b=5.3799 c=5.3761 alpha=90.00 beta=90.00 gamma=90.00
Closest atoms and distances in Å follow each position.
Space group P4/mmm (No. 123)
Symmetry-distinct sites (fractional):
1 Ba 0.0000 0.0000 0.0000 (multiplicity 1)  2 Nb 2.69
2 Sc 0.5000 0.5000 0.0000 (multiplicity 1)  8 Cd 3.80, 4 Ba 3.80
3 Nb 0.0000 0.0000 0.5000 (multiplicity 1)  2 Ba 2.69, 4 Cd 2.69
4 Cd 0.0000 0.5000 0.5000 (multiplicity 2)  2 Nb 2.69



Entry 4:
Compound: Ba4Nd2Cd3Se10
Source: the Alexandria database
Functional: GGA-PBEsol
Structure: optimized geometry

Values from the calculation:
- formation energy (no corrections) (meV/atom) = -1541
- final energy (eV per atom) = -4.753

Unit cell a=4.3360 b=18.7050 c=27.4450 alpha=90.00 beta=90.00 gamma=90.00
Closest atoms and distances in Å follow each position.
Space group Cmc2_1 (No. 36)
Symmetry-distinct sites (fractional):
1 Ba 0.0000 0.0749 0.0000 (multiplicity 4)  7 Se 3.24-3.40
2 Ba 0.0000 0.0933 0.1811 (multiplicity 4)  8 Se 3.24-3.60
3 Ba 0.0000 0.3331 0.9501 (multiplicity 4)  7 Se 3.24-3.40
4 Ba 0.0000 0.3339 0.2358 (multiplicity 4)  7 Se 3.21-3.51
5 Nd 0.0000 0.0031 0.3414 (multiplicity 4)  6 Se 2.93-3.00
6 Nd 0.0000 0.4151 0.0959 (multiplicity 4)  6 Se 2.91-2.96
7 Cd 0.0000 0.2850 0.5740 (multiplicity 4)  4 Se 2.57-2.74
8 Cd 0.0000 0.3443 0.8026 (multiplicity 4)  4 Se 2.54-2.79
9 Cd 0.0000 0.3523 0.3876 (multiplicity 4)  4 Se 2.63-2.73
10 Se 0.0000 0.0815 0.6672 (multiplicity 4)  2 Nd 2.92
11 Se 0.0000 0.0952 0.5232 (multiplicity 4)  2 Nd 2.95, 3 Ba 3.24
12 Se 0.0000 0.1567 0.8328 (multiplicity 4)  2 Cd 2.64
13 Se 0.0000 0.1590 0.3596 (multiplicity 4)  2 Cd 2.67, 1 Nd 2.96
14 Se 0.0000 0.2593 0.1144 (multiplicity 4)  2 Cd 2.57
15 Se 0.0000 0.2899 0.7179 (multiplicity 4)  1 Cd 2.54
16 Se 0.0000 0.2933 0.4744 (multiplicity 4)  2 Cd 2.63-2.74
17 Se 0.0000 0.4295 0.5899 (multiplicity 4)  1 Cd 2.74, 1 Nd 2.91
18 Se 0.0000 0.4856 0.7702 (multiplicity 4)  1 Cd 2.79, 2 Nd 2.93
19 Se 0.0000 0.4921 0.4164 (multiplicity 4)  1 Cd 2.73, 2 Nd 3.00



Entry 5:
Compound: BaCd3Ni
Source: the Alexandria database
Functional: GGA-PBEsol
Structure: optimized geometry

Values from the calculation:
- ΔE_f (eV per atom) = -0.150
- final energy (eV per atom) = -2.529

Unit cell a=5.0147 b=5.0147 c=5.0147 alpha=90.00 beta=90.00 gamma=90.00
Closest atoms and distances in Å follow each position.
Space group Pm-3m (No. 221)
Symmetry-distinct sites (fractional):
1 Ba 0.0000 0.0000 0.0000 (multiplicity 1)  12 Cd 3.55
2 Cd 0.0000 0.5000 0.5000 (multiplicity 3)  2 Ni 2.51
3 Ni 0.5000 0.5000 0.5000 (multiplicity 1)  6 Cd 2.51



Entry 6:
Compound: Ba2CdNi
Source: the Alexandria database
Functional: GGA-PBEsol
Structure: optimized geometry

Values from the calculation:
- ΔE_f (eV per atom) = -0.025
- final energy (eV per atom) = -2.938

Unit cell a=4.6577 b=4.6570 c=6.6023 alpha=90.00 beta=110.69 gamma=90.00
Closest atoms and distances in Å follow each position.
Space group Pm (No. 6)
Symmetry-distinct sites (fractional):
1 Ba 0.0000 0.0000 0.0000 (multiplicity 1)  2 Ni 3.23-3.25, 4 Cd 3.45
2 Ba 0.2799 0.5000 0.5588 (multiplicity 1)  3 Cd 3.37-3.75, 4 Ni 3.50-3.51
3 Cd 0.5827 0.5000 0.1653 (multiplicity 1)  2 Ni 2.64
4 Ni 0.6807 0.0000 0.3652 (multiplicity 1)  2 Cd 2.64



Entry 7:
Compound: Ba2CdNi
Source: the Alexandria database
Functional: GGA-PBEsol
Structure: optimized geometry

Values from the calculation:
- ΔE_f (eV per atom) = 0.104
- final energy (eV per atom) = -2.809

Unit cell a=3.7077 b=3.7077 c=9.2044 alpha=90.00 beta=90.00 gamma=90.00
Closest atoms and distances in Å follow each position.
Space group P4mm (No. 99)
Symmetry-distinct sites (fractional):
1 Ba 0.0000 0.0000 0.0000 (multiplicity 1)  1 Cd 3.11, 4 Ni 3.43
2 Ba 0.5000 0.5000 0.4195 (multiplicity 1)  1 Ni 3.13, 4 Cd 3.44
3 Cd 0.0000 0.0000 0.6618 (multiplicity 1)  4 Ni 2.77
4 Ni 0.5000 0.5000 0.7595 (multiplicity 1)  4 Cd 2.77



Entry 8:
Compound: BaCd2Ni
Source: the Alexandria database
Functional: GGA-PBEsol
Structure: optimized geometry

Values from the calculation:
- ΔE_f (eV per atom) = 0.258
- final energy (eV per atom) = -2.417

Unit cell a=7.3194 b=7.3194 c=7.3194 alpha=90.00 beta=90.00 gamma=90.00
Closest atoms and distances in Å follow each position.
Space group Fm-3m (No. 225)
Symmetry-distinct sites (fractional):
1 Ba 0.0000 0.0000 0.0000 (multiplicity 4)  8 Cd 3.17
2 Cd 0.2500 0.2500 0.2500 (multiplicity 8)  4 Ba 3.17, 4 Ni 3.17
3 Ni 0.0000 0.0000 0.5000 (multiplicity 4)  8 Cd 3.17